# 1
This record from Alexandria via LeMat-Bulk describes a PBEsol-optimized structure of Cu2SiRu. The functional is meta-GGA SCAN.

Results
Energy (eV/atom): -18.9699
Density of states at the Fermi level (states/eV/cell): 2.89
Magnetic moment (μB/f.u.): 0.0
Formation energy from raw total energies (kJ/mol of formula units): -62

Cell: 4.0874 4.0874 5.7215 Å, 90.00 90.00 90.00°
Closest atoms and distances in Å follow each position.
Space group I-4m2 (No. 119)
Symmetry-distinct sites (fractional):
Cu 0.0000 0.0000 0.0000 x2  4 Ru 2.49, 4 Cu 2.49
Cu 0.0000 0.5000 0.2500 x2  4 Cu 2.49, 4 Si 2.49
Si 0.0000 0.0000 0.5000 x2  4 Ru 2.49, 4 Cu 2.49
Ru 0.0000 0.5000 0.7500 x2  4 Cu 2.49, 4 Si 2.49



# 2
This record from Alexandria via LeMat-Bulk describes a PBEsol-optimized structure of CuSiRu. The functional is meta-GGA SCAN.

Results
Energy (eV/atom): -20.2478
Density of states at the Fermi level (states/eV/cell): 3.21
Magnetic moment (μB/f.u.): 0.0
Formation energy from raw total energies (kJ/mol of formula units): -68

Cell: 2.9345 2.9345 8.5559 Å, 90.00 90.00 90.00°
Closest atoms and distances in Å follow each position.
Space group I4mm (No. 107)
Symmetry-distinct sites (fractional):
Cu 0.0000 0.0000 0.0000 x2  4 Si 2.49, 5 Ru 2.62-2.66
Si 0.0000 0.0000 0.3386 x2  4 Ru 2.41, 4 Cu 2.49
Ru 0.0000 0.0000 0.6941 x2  4 Si 2.41, 5 Cu 2.62-2.66



# 3
This record from Alexandria via LeMat-Bulk describes a PBEsol-optimized structure of CuSi2SnRu. The functional is meta-GGA SCAN.

Results
Energy (eV/atom): -20.6101
Density of states at the Fermi level (states/eV/cell): 3.13
Magnetic moment (μB/f.u.): 0.0
Formation energy from raw total energies (kJ/mol of formula units): 282

Cell: 4.4715 4.4715 5.1926 Å, 90.00 90.00 90.00°
Closest atoms and distances in Å follow each position.
Space group P4/mmm (No. 123)
Symmetry-distinct sites (fractional):
Cu 0.0000 0.0000 0.0000 x1  4 Sn 3.16, 8 Si 3.43
Si 0.0000 0.5000 0.5000 x2  2 Ru 2.24
Sn 0.5000 0.5000 0.0000 x1  2 Ru 2.60
Ru 0.5000 0.5000 0.5000 x1  4 Si 2.24



# 4
This record from Alexandria via LeMat-Bulk describes a PBEsol-optimized structure of Sm2CuRu. The functional is meta-GGA SCAN.

Results
Formation energy from the elements (meV/atom): -287
Energy (eV/atom): -35.0145
Density of states at the Fermi level (states/eV/cell): 7.86
Magnetic moment (μB/f.u.): 0.0

Cell: 6.8865 6.8865 6.8865 Å, 90.00 90.00 90.00°
Closest atoms and distances in Å follow each position.
Space group Fm-3m (No. 225)
Symmetry-distinct sites (fractional):
Sm 0.2500 0.2500 0.2500 x8  4 Ru 2.98, 4 Cu 2.98
Cu 0.0000 0.0000 0.0000 x4  8 Sm 2.98
Ru 0.0000 0.0000 0.5000 x4  8 Sm 2.98



# 5
This record from Alexandria via LeMat-Bulk describes a PBEsol-optimized structure of SrCu2Ru. The functional is meta-GGA SCAN.

Results
Formation energy from the elements (meV/atom): 650
Energy (eV/atom): -21.2254
Density of states at the Fermi level (states/eV/cell): 4.53
Magnetic moment (μB/f.u.): 0.5

Cell: 3.9557 3.9557 8.4287 Å, 90.00 90.00 90.00°
Closest atoms and distances in Å follow each position.
Space group I-4m2 (No. 119)
Symmetry-distinct sites (fractional):
Sr 0.0000 0.0000 0.0000 x2  8 Cu 2.80-2.89, 4 Ru 2.89
Cu 0.0000 0.0000 0.5000 x2  4 Sr 2.80, 4 Ru 2.89, 4 Cu 2.89
Cu 0.0000 0.5000 0.2500 x2  4 Ru 2.80, 4 Cu 2.89, 4 Sr 2.89
Ru 0.0000 0.5000 0.7500 x2  8 Cu 2.80-2.89, 4 Sr 2.89



# 6
This record from Alexandria via LeMat-Bulk describes a PBEsol-optimized structure of TaCuRu. The functional is meta-GGA SCAN.

Results
ΔE to the lowest computed polymorph (meV/atom): 0.0
Formation energy from the elements (meV/atom): -237
Energy (eV/atom): -39.1062
Density of states at the Fermi level (states/eV/cell): 1.33
Magnetic moment (μB/f.u.): 0.0

Cell: 3.2234 3.2234 8.2466 Å, 90.00 90.00 90.00°
Closest atoms and distances in Å follow each position.
Space group I4mm (No. 107)
Symmetry-distinct sites (fractional):
Ta 0.0000 0.0000 0.0000 x2  5 Ru 2.64-2.80, 5 Cu 2.67-2.72
Cu 0.0000 0.0000 0.6696 x2  5 Ta 2.67-2.72, 5 Ru 2.68-2.72
Ru 0.0000 0.0000 0.3396 x2  5 Ta 2.64-2.80, 5 Cu 2.68-2.72



# 7
This record from Alexandria via LeMat-Bulk describes a PBEsol-optimized structure of TaCu2Ru. The functional is meta-GGA SCAN.

Results
ΔE to the lowest computed polymorph (meV/atom): 357.9
Formation energy from the elements (meV/atom): 231
Energy (eV/atom): -32.7208
Density of states at the Fermi level (states/eV/cell): 3.11
Magnetic moment (μB/f.u.): 1.1

Cell: 2.7217 2.7217 7.2696 Å, 90.00 90.00 90.00°
Closest atoms and distances in Å follow each position.
Space group P4/mmm (No. 123)
Symmetry-distinct sites (fractional):
Ta 0.0000 0.0000 0.0000 x1  8 Cu 2.71, 4 Ta 2.72
Cu 0.5000 0.5000 0.2632 x2  4 Ru 2.58, 4 Ta 2.71, 4 Cu 2.72
Ru 0.0000 0.0000 0.5000 x1  8 Cu 2.58, 4 Ru 2.72



# 8
This record from Alexandria via LeMat-Bulk describes a PBEsol-optimized structure of TaCu2Ru. The functional is meta-GGA SCAN.

Results
ΔE to the lowest computed polymorph (meV/atom): 165.7
Formation energy from the elements (meV/atom): 39
Energy (eV/atom): -32.9130
Density of states at the Fermi level (states/eV/cell): 2.85
Magnetic moment (μB/f.u.): 0.0

Cell: 2.6971 4.0664 5.0158 Å, 90.00 99.19 90.00°
Closest atoms and distances in Å follow each position.
Space group Pm (No. 6)
Symmetry-distinct sites (fractional):
Ta 0.0000 0.0000 0.0000 x1  7 Cu 2.58-2.78, 2 Ru 2.59, 2 Ta 2.70
Cu 0.5719 0.5000 0.2463 x1  2 Cu 2.36, 1 Ru 2.64
Cu 0.6500 0.0000 0.4893 x1  2 Cu 2.36, 1 Ta 2.58
Ru 0.2256 0.5000 0.7230 x1  2 Ta 2.59, 7 Cu 2.64-2.73, 2 Ru 2.70



# 9
This record from Alexandria via LeMat-Bulk describes a PBEsol-optimized structure of TaCu2Ru. The functional is meta-GGA SCAN.

Results
ΔE to the lowest computed polymorph (meV/atom): 35.0
Formation energy from the elements (meV/atom): -92
Energy (eV/atom): -33.0437
Density of states at the Fermi level (states/eV/cell): 4.53
Magnetic moment (μB/f.u.): 0.0

Cell: 3.7744 3.7744 7.5323 Å, 90.00 90.00 90.00°
Closest atoms and distances in Å follow each position.
Space group I-4m2 (No. 119)
Symmetry-distinct sites (fractional):
Ta 0.0000 0.0000 0.0000 x2  4 Ru 2.67, 8 Cu 2.67
Cu 0.0000 0.0000 0.5000 x2  4 Ru 2.67, 4 Cu 2.67, 4 Ta 2.67
Cu 0.0000 0.5000 0.7500 x2  4 Cu 2.67, 4 Ta 2.67, 4 Ru 2.67
Ru 0.0000 0.5000 0.2500 x2  4 Ta 2.67, 8 Cu 2.67



# 10
This record from Alexandria via LeMat-Bulk describes a PBEsol-optimized structure of TaCu2Ru. The functional is meta-GGA SCAN.

Results
ΔE to the lowest computed polymorph (meV/atom): 0.0
Formation energy from the elements (meV/atom): -127
Energy (eV/atom): -33.0787
Density of states at the Fermi level (states/eV/cell): 3.57
Magnetic moment (μB/f.u.): 0.0

Cell: 3.6298 3.6298 8.1042 Å, 90.00 90.00 90.00°
Closest atoms and distances in Å follow each position.
Space group I4/mmm (No. 139)
Symmetry-distinct sites (fractional):
Ta 0.0000 0.0000 0.0000 x2  4 Ru 2.57, 8 Cu 2.72
Cu 0.0000 0.5000 0.2500 x4  4 Cu 2.57, 4 Ta 2.72, 4 Ru 2.72
Ru 0.0000 0.0000 0.5000 x2  4 Ta 2.57, 8 Cu 2.72



# 11
This record from Alexandria via LeMat-Bulk describes a PBEsol-optimized structure of TaCuRu. The functional is meta-GGA SCAN.

Results
ΔE to the lowest computed polymorph (meV/atom): 667.6
Formation energy from the elements (meV/atom): 431
Energy (eV/atom): -38.4387
Density of states at the Fermi level (states/eV/cell): 2.70
Magnetic moment (μB/f.u.): 0.0

Cell: 5.8840 5.8840 5.8840 Å, 90.00 90.00 90.00°
Closest atoms and distances in Å follow each position.
Space group F-43m (No. 216)
Symmetry-distinct sites (fractional):
Ta 0.0000 0.0000 0.0000 x4  4 Ru 2.55, 4 Cu 2.55
Cu 0.2500 0.2500 0.7500 x4  4 Ta 2.55
Ru 0.2500 0.2500 0.2500 x4  4 Ta 2.55



# 12
This record from Alexandria via LeMat-Bulk describes a PBEsol-optimized structure of TaCu2Ru. The functional is meta-GGA SCAN.

Results
ΔE to the lowest computed polymorph (meV/atom): 65.7
Formation energy from the elements (meV/atom): -61
Energy (eV/atom): -33.0130
Density of states at the Fermi level (states/eV/cell): 2.38
Magnetic moment (μB/f.u.): 0.0

Cell: 3.6629 3.6629 3.9922 Å, 90.00 90.00 90.00°
Closest atoms and distances in Å follow each position.
Space group P4/mmm (No. 123)
Symmetry-distinct sites (fractional):
Ta 0.0000 0.0000 0.0000 x1  4 Ru 2.59, 8 Cu 2.71
Cu 0.0000 0.5000 0.5000 x2  4 Cu 2.59, 4 Ru 2.71, 4 Ta 2.71
Ru 0.5000 0.5000 0.0000 x1  4 Ta 2.59, 8 Cu 2.71



# 13
This record from Alexandria via LeMat-Bulk describes a PBEsol-optimized structure of Cu2TcRu. The functional is meta-GGA SCAN.

Results
ΔE to the lowest computed polymorph (meV/atom): 176.8
Formation energy from the elements (meV/atom): 325
Energy (eV/atom): -24.7458
Density of states at the Fermi level (states/eV/cell): 8.47
Magnetic moment (μB/f.u.): 0.0

Cell: 3.5361 3.5713 8.0161 Å, 90.00 90.00 90.00°
Closest atoms and distances in Å follow each position.
Space group Immm (No. 71)
Symmetry-distinct sites (fractional):
Cu 0.0000 0.0000 0.2500 x4  4 Cu 2.51, 4 Tc 2.67-2.68, 4 Ru 2.67-2.68
Tc 0.0000 0.5000 0.0000 x2  4 Ru 2.51, 8 Cu 2.67-2.68
Ru 0.0000 0.5000 0.5000 x2  4 Tc 2.51, 8 Cu 2.67-2.68



# 14
This record from Alexandria via LeMat-Bulk describes a PBEsol-optimized structure of CuTcRu. The functional is meta-GGA SCAN.

Results
Formation energy from the elements (meV/atom): 188
Energy (eV/atom): -28.1737
Density of states at the Fermi level (states/eV/cell): 4.84
Magnetic moment (μB/f.u.): 0.0

Cell: 3.0407 3.0407 8.3990 Å, 90.00 90.00 90.00°
Closest atoms and distances in Å follow each position.
Space group I4mm (No. 107)
Symmetry-distinct sites (fractional):
Cu 0.0000 0.0000 0.0000 x2  5 Ru 2.56-2.81, 5 Tc 2.57-2.80
Tc 0.0000 0.0000 0.3328 x2  5 Cu 2.57-2.80, 5 Ru 2.57-2.79
Ru 0.0000 0.0000 0.6654 x2  5 Cu 2.56-2.81, 5 Tc 2.57-2.79



# 15
This record from Alexandria via LeMat-Bulk describes a PBEsol-optimized structure of Cu2TcRu. The functional is meta-GGA SCAN.

Results
ΔE to the lowest computed polymorph (meV/atom): 145.3
Formation energy from the elements (meV/atom): 294
Energy (eV/atom): -24.7773
Density of states at the Fermi level (states/eV/cell): 5.14
Magnetic moment (μB/f.u.): 0.6

Cell: 2.7501 4.3556 8.6319 Å, 90.00 90.00 90.00°
Closest atoms and distances in Å follow each position.
Space group Cmm2 (No. 35)
Symmetry-distinct sites (fractional):
Cu 0.0000 0.0000 0.0000 x2  6 Cu 2.44-2.58, 2 Ru 2.61
Cu 0.0000 0.5000 0.2340 x2  6 Cu 2.44-2.58, 2 Tc 2.62
Tc 0.0000 0.0000 0.4925 x2  2 Ru 2.57, 6 Tc 2.58-2.75, 2 Cu 2.62
Ru 0.0000 0.5000 0.7437 x2  2 Tc 2.57, 6 Ru 2.58-2.75, 2 Cu 2.61